1.
ZrTi3Pb | Alexandria via LeMat-Bulk | PBE | relaxed; final energy = -30.89 eV for the cell shown; DOS at the Fermi energy = 7.17 states/eV/f.u.; DFT formation energy = 1010 meV per atom; crystal system = cubic; E above lowest polymorph = 944 meV per atom
1.0
-3.647 0.351 3.233
-0.140 -4.871 0.371
3.249 0.184 3.645
Ti Zr Pb
3 1 1
Cartesian
1.625 0.092 1.823 Ti
-1.824 0.176 1.617 Ti
-0.070 -2.435 0.186 Ti
0.000 0.000 0.000 Zr
-0.269 -2.168 3.625 Pb

2.
ZrTiPb | Alexandria via LeMat-Bulk | PBE | relaxed; final energy = -41.21 eV for the cell shown; DOS at the Fermi energy = 2.63 states/eV/f.u.; DFT formation energy = -151 meV per atom; crystal system = tetragonal; E above lowest polymorph = 0 meV per atom
1.0
-3.919 -1.045 0.363
0.815 -1.825 3.548
-1.452 6.772 3.816
Ti Zr Pb
2 2 2
Cartesian
-2.736 -1.240 1.159 Ti
-0.368 -1.630 2.752 Ti
-2.844 0.253 4.289 Zr
-1.713 3.650 3.439 Zr
-3.398 2.837 5.745 Pb
-1.158 1.065 1.982 Pb

3.
ZrTi5Pb3 | Alexandria via LeMat-Bulk | PBE | relaxed; final energy = -119.26 eV for the cell shown; DOS at the Fermi energy = 6.53 states/eV/f.u.; DFT formation energy = -54 meV per atom; crystal system = hexagonal
1.0
5.788 0.000 0.000
0.000 7.309 -4.220
0.000 0.000 8.440
Ti Pb Zr
10 6 2
Cartesian
2.894 2.437 4.220 Ti
1.447 4.861 -2.806 Ti
4.341 0.000 2.828 Ti
1.447 2.449 1.414 Ti
4.341 2.449 -1.414 Ti
0.000 2.437 4.220 Ti
4.341 4.861 2.806 Ti
2.894 4.873 0.000 Ti
1.447 7.309 1.392 Ti
0.000 4.873 0.000 Ti
1.447 4.846 2.798 Pb
4.341 4.846 -2.798 Pb
4.341 7.309 1.376 Pb
4.341 2.463 1.422 Pb
1.447 2.463 -1.422 Pb
1.447 0.000 2.844 Pb
0.000 0.000 0.000 Zr
2.894 0.000 0.000 Zr

4.
Zr3TiPb | Alexandria via LeMat-Bulk | PBE | relaxed; final energy = -30.61 eV for the cell shown; DOS at the Fermi energy = 11.23 states/eV/f.u.; DFT formation energy = 1327 meV per atom; crystal system = cubic; E above lowest polymorph = 1347 meV per atom
1.0
-5.241 -0.245 0.987
0.995 -0.176 5.242
-0.208 5.330 0.219
Zr Pb Ti
3 1 1
Cartesian
-0.104 2.665 0.109 Zr
0.498 -0.088 2.621 Zr
-2.621 -0.122 0.493 Zr
0.000 0.000 0.000 Pb
-2.227 2.455 3.224 Ti

5.
Zr3TiPb | Alexandria via LeMat-Bulk | PBE | relaxed; final energy = -149.39 eV for the cell shown; DOS at the Fermi energy = 5.04 states/eV/f.u.; DFT formation energy = -20 meV per atom; crystal system = monoclinic; E above lowest polymorph = 0 meV per atom
1.0
-1.278 3.328 3.194
-5.897 -2.190 -0.078
8.082 -7.566 11.117
Pb Zr Ti
4 12 4
Cartesian
2.154 -4.273 10.695 Pb
5.103 -3.178 10.734 Pb
-1.248 -2.154 3.539 Pb
-4.196 -3.250 3.500 Pb
5.412 -5.327 13.097 Zr
1.423 -7.575 10.256 Zr
1.212 -5.403 7.909 Zr
-0.306 -1.024 6.325 Zr
4.163 -4.299 7.939 Zr
2.010 -3.209 5.941 Zr
-3.468 0.044 3.947 Zr
-1.104 -3.219 8.293 Zr
-0.517 1.148 3.977 Zr
-4.506 -1.100 1.137 Zr
-3.257 -2.128 6.295 Zr
4.374 -6.471 10.287 Zr
1.882 -2.139 8.362 Ti
2.426 -6.408 13.028 Ti
-1.520 -0.020 1.206 Ti
-0.976 -4.289 5.872 Ti

6.
Zr2Ti2Pb | Alexandria via LeMat-Bulk | PBE | relaxed; final energy = -71.45 eV for the cell shown; DOS at the Fermi energy = 5.38 states/eV/f.u.; DFT formation energy = 174 meV per atom; crystal system = tetragonal; E above lowest polymorph = 194 meV per atom
1.0
-2.692 0.728 -7.120
-5.443 -5.148 1.531
-2.269 2.738 1.138
Zr Pb Ti
4 2 4
Cartesian
-5.689 -4.186 -1.273 Zr
-5.786 -2.640 -5.185 Zr
-2.350 -1.779 -0.405 Zr
-2.446 -0.234 -4.316 Zr
-4.068 -2.210 -2.795 Pb
0.000 0.000 0.000 Pb
-7.477 -2.459 -2.867 Ti
-2.928 0.778 -1.585 Ti
-5.226 0.242 -4.877 Ti
-5.179 -1.923 0.426 Ti

7.
TlPb5 | Alexandria via LeMat-Bulk | PBE | relaxed; final energy = -20.88 eV for the cell shown; DOS at the Fermi energy = 2.45 states/eV/f.u.; DFT formation energy = 5 meV per atom; crystal system = orthorhombic; E above lowest polymorph = 17 meV per atom
1.0
-8.492 4.217 -2.270
6.526 -7.027 1.754
-1.452 0.015 5.459
Pb Tl
5 1
Cartesian
-5.829 1.686 1.368 Pb
6.467 -6.983 1.739 Pb
-0.810 -2.071 2.713 Pb
1.483 -3.252 0.403 Pb
-3.533 0.503 -0.941 Pb
4.157 -5.790 4.044 Tl

8.
TlPb5 | Alexandria via LeMat-Bulk | PBE | relaxed; final energy = -20.89 eV for the cell shown; DOS at the Fermi energy = 2.76 states/eV/f.u.; DFT formation energy = 2 meV per atom; crystal system = orthorhombic; E above lowest polymorph = 14 meV per atom
1.0
-2.825 -2.943 -2.538
3.759 -3.499 -0.125
-4.518 -1.319 6.558
Pb Tl
5 1
Cartesian
-1.290 -5.264 2.994 Pb
-2.294 -2.497 0.901 Pb
0.467 -3.221 -1.332 Pb
-1.753 -2.038 4.315 Pb
0.994 -2.779 2.117 Pb
0.000 0.000 0.000 Tl

9.
Tl3Pb | Alexandria via LeMat-Bulk | PBE | relaxed; final energy = -42.96 eV for the cell shown; DOS at the Fermi energy = 2.40 states/eV/f.u.; DFT formation energy = 17 meV per atom; crystal system = hexagonal; E above lowest polymorph = 16 meV per atom
1.0
7.119 0.000 0.000
-3.559 6.165 0.000
0.000 0.000 11.246
Tl Pb
12 4
Cartesian
3.559 0.000 5.623 Tl
3.559 0.000 0.000 Tl
-1.780 3.082 5.623 Tl
1.780 3.082 0.000 Tl
1.772 1.023 2.812 Tl
1.788 5.142 8.435 Tl
3.559 4.119 2.812 Tl
1.780 3.082 5.623 Tl
-1.780 3.082 0.000 Tl
5.347 1.023 2.812 Tl
-1.788 5.142 8.435 Tl
0.000 2.046 8.435 Tl
0.000 4.110 2.812 Pb
0.000 0.000 5.623 Pb
0.000 0.000 0.000 Pb
3.559 2.055 8.435 Pb

10.
TlPb3 | Alexandria via LeMat-Bulk | PBE | relaxed; final energy = -13.36 eV for the cell shown; DOS at the Fermi energy = 2.86 states/eV/f.u.; DFT formation energy = 33 meV per atom; crystal system = orthorhombic
1.0
3.478 0.000 0.000
0.000 5.980 0.000
0.000 0.000 6.071
Pb Tl
3 1
Cartesian
0.000 0.000 6.061 Pb
1.739 2.990 5.044 Pb
1.739 0.000 3.074 Pb
0.000 2.990 2.012 Tl

11.
Tl5Pb24 | Alexandria via LeMat-Bulk | PBE | relaxed; final energy = -100.28 eV for the cell shown; DOS at the Fermi energy = 21.26 states/eV/f.u.; DFT formation energy = 19 meV per atom; crystal system = cubic
1.0
-6.423 8.520 0.730
-4.602 -8.359 4.831
9.340 2.160 4.742
Pb Tl
24 5
Cartesian
-8.016 1.700 3.572 Pb
-4.754 -2.314 3.108 Pb
-2.462 0.467 3.017 Pb
-7.674 -1.470 4.342 Pb
5.441 1.786 4.933 Pb
-5.269 2.460 1.948 Pb
0.595 8.197 3.517 Pb
3.555 3.955 3.055 Pb
-4.932 0.722 5.161 Pb
2.062 -5.399 6.820 Pb
-2.692 3.606 4.392 Pb
4.681 -3.423 6.803 Pb
0.251 2.514 3.000 Pb
-0.904 5.754 1.920 Pb
0.702 4.972 5.125 Pb
-3.170 -4.711 4.988 Pb
3.556 7.002 4.271 Pb
0.605 -0.770 3.798 Pb
0.182 -4.305 4.364 Pb
4.125 -1.330 4.339 Pb
-2.122 -1.679 5.676 Pb
2.243 1.614 5.648 Pb
1.438 -1.848 6.782 Pb
-4.295 5.714 2.455 Pb
-2.271 3.012 0.258 Tl
-1.090 1.501 6.660 Tl
3.302 0.764 1.677 Tl
0.000 0.000 0.000 Tl
-1.627 -2.955 1.708 Tl

12.
TlPb3 | Alexandria via LeMat-Bulk | PBE | relaxed; final energy = -13.55 eV for the cell shown; DOS at the Fermi energy = 1.12 states/eV/f.u.; DFT formation energy = -15 meV per atom; crystal system = tetragonal
1.0
-0.241 1.044 3.428
-0.534 -3.408 1.001
9.597 -1.200 1.039
Pb Tl
3 1
Cartesian
0.036 -0.004 0.004 Pb
4.763 -0.596 0.516 Pb
2.012 -1.482 2.474 Pb
6.810 -2.082 2.994 Tl

13.
Tl7Pb | Alexandria via LeMat-Bulk | PBE | relaxed; final energy = -20.24 eV for the cell shown; DOS at the Fermi energy = 4.21 states/eV/f.u.; DFT formation energy = 5 meV per atom; crystal system = tetragonal; E above lowest polymorph = 0 meV per atom
1.0
-1.717 1.307 4.996
-2.397 -4.866 0.449
9.085 -1.383 0.520
Tl Pb
7 1
Cartesian
3.496 -1.573 1.613 Tl
0.543 -3.216 1.028 Tl
0.883 -0.130 3.301 Tl
4.428 -1.725 4.937 Tl
4.089 -4.812 2.664 Tl
-2.057 -1.779 2.723 Tl
1.475 -3.369 4.352 Tl
0.000 0.000 0.000 Pb

14.
Tl3Pb | Alexandria via LeMat-Bulk | PBE | relaxed; final energy = -10.80 eV for the cell shown; DOS at the Fermi energy = 1.44 states/eV/f.u.; DFT formation energy = 1 meV per atom; crystal system = monoclinic; E above lowest polymorph = 0 meV per atom
1.0
-3.392 0.059 3.910
2.257 -1.686 1.984
4.892 4.310 4.179
Tl Pb
3 1
Cartesian
0.100 0.688 3.503 Tl
3.575 1.312 3.082 Tl
3.658 1.995 6.570 Tl
2.257 -1.686 1.984 Pb

15.
TlPb2 | Alexandria via LeMat-Bulk | PBE | relaxed; final energy = -19.17 eV for the cell shown; DOS at the Fermi energy = 1.75 states/eV/f.u.; DFT formation energy = 65 meV per atom; crystal system = cubic; E above lowest polymorph = 78 meV per atom
1.0
6.607 0.000 0.000
3.303 5.722 0.000
3.303 1.907 5.394
Pb Tl
4 2
Cartesian
3.303 0.000 0.000 Pb
4.955 2.861 0.000 Pb
1.652 2.861 0.000 Pb
6.607 3.814 2.697 Pb
3.303 1.907 3.372 Tl
9.910 5.722 2.023 Tl

16.
Tl2Pb | Alexandria via LeMat-Bulk | PBE | relaxed; final energy = -16.89 eV for the cell shown; DOS at the Fermi energy = 1.38 states/eV/f.u.; DFT formation energy = -1 meV per atom; crystal system = orthorhombic; E above lowest polymorph = 0 meV per atom
1.0
-3.388 4.942 -3.741
0.480 -7.046 -0.123
-4.186 -0.343 3.337
Tl Pb
4 2
Cartesian
-2.181 -2.127 -0.799 Tl
-3.636 -4.277 1.466 Tl
-4.913 -0.320 0.272 Tl
-3.458 1.830 -1.993 Tl
-6.207 3.690 -0.938 Pb
-0.887 -6.138 0.411 Pb

17.
Tl7Pb5 | Alexandria via LeMat-Bulk | PBE | relaxed; final energy = -35.14 eV for the cell shown; DOS at the Fermi energy = 6.45 states/eV/f.u.; DFT formation energy = -3 meV per atom; crystal system = orthorhombic; E above lowest polymorph = 0 meV per atom
1.0
-1.089 -3.309 0.063
8.139 -2.571 5.650
-5.457 1.963 8.754
Tl Pb
7 5
Cartesian
3.740 -2.928 7.186 Tl
5.388 -1.582 10.012 Tl
1.920 -2.273 10.105 Tl
5.580 -3.589 4.283 Tl
-0.465 0.346 10.107 Tl
1.517 -2.305 1.462 Tl
3.153 -0.956 4.302 Tl
-4.535 1.632 7.316 Pb
-0.353 -1.634 4.375 Pb
-2.146 -0.989 7.251 Pb
1.299 -0.291 7.173 Pb
-0.887 0.320 1.463 Pb

18.
Tl2Pb7 | Alexandria via LeMat-Bulk | PBE | relaxed; final energy = -30.40 eV for the cell shown; DOS at the Fermi energy = 4.45 states/eV/f.u.; DFT formation energy = 32 meV per atom; crystal system = hexagonal; E above lowest polymorph = 39 meV per atom
1.0
3.442 0.000 0.000
0.000 9.741 0.000
0.000 -4.870 8.436
Tl Pb
2 7
Cartesian
0.000 4.870 2.812 Tl
0.000 0.000 5.624 Tl
1.721 6.255 0.000 Pb
1.721 0.000 0.000 Pb
0.000 2.978 0.000 Pb
0.000 -1.489 2.579 Pb
0.000 3.382 5.857 Pb
1.721 1.743 3.019 Pb
1.721 -3.128 5.417 Pb

19.
TlPb6 | Alexandria via LeMat-Bulk | PBE | relaxed; final energy = -24.31 eV for the cell shown; DOS at the Fermi energy = 2.30 states/eV/f.u.; DFT formation energy = 44 meV per atom; crystal system = tetragonal; E above lowest polymorph = 0 meV per atom
1.0
-3.203 2.234 -3.047
-3.544 -0.393 3.438
2.504 8.427 3.546
Pb Tl
6 1
Cartesian
0.071 6.005 4.329 Pb
1.252 4.213 1.773 Pb
-0.941 3.342 -0.587 Pb
-3.374 0.920 0.195 Pb
-1.111 2.028 2.655 Pb
0.241 7.319 1.086 Pb
0.000 0.000 0.000 Tl

20.
Tl3Pb | Alexandria via LeMat-Bulk | PBE | relaxed; final energy = -10.76 eV for the cell shown; DOS at the Fermi energy = 1.62 states/eV/f.u.; DFT formation energy = 13 meV per atom; crystal system = monoclinic; E above lowest polymorph = 11 meV per atom
1.0
-5.743 0.232 -2.551
-0.193 -1.209 -6.168
2.503 -2.854 4.978
Tl Pb
3 1
Cartesian
-2.968 -0.488 -4.359 Tl
-0.329 -2.276 -2.775 Tl
-3.104 -1.555 -0.966 Tl
0.000 0.000 0.000 Pb